1.
Material: Sc2HgB
Method: DFT, PBE
State: optimized geometry

Geometry as POSCAR:
```
Sc2HgB
1.0
1.791 1.034 8.489
-1.791 1.034 8.489
0.000 -2.068 8.489
Sc Hg B
2 1 1
Cartesian
0.000 0.000 3.067
0.000 0.000 22.401
0.000 0.000 0.000
0.000 0.000 12.734
```

Summary:
The calculation puts the raw total energy at -4.988 eV per atom. Its density of states at the Fermi level is 3.44 states/eV/f.u. The calculated volume is 23.58 Å³ per atom. The energy above the most stable polymorph in this dataset comes out at 0 meV per atom. The formation enthalpy at 0 K is -0.077 eV/atom. The spin magnetization comes out at 0.00 μB/f.u.

***

2.
Material: Sc2HgB
Method: DFT, PBE
State: optimized geometry

Geometry as POSCAR:
```
Sc2HgB
1.0
-3.520 3.520 3.231
3.520 -3.520 3.231
3.520 3.520 -3.231
Sc Hg B
4 2 2
Cartesian
1.760 1.268 -0.808
2.252 -1.760 4.039
1.760 2.252 2.423
1.268 5.280 0.808
3.520 0.000 1.616
0.000 0.000 3.231
0.000 0.000 0.000
0.000 3.520 1.616
```

Summary:
The calculation puts the raw total energy at -4.850 eV per atom. Its density of states at the Fermi level is 3.06 states/eV/f.u. The calculated volume is 20.02 Å³ per atom. The energy above the most stable polymorph in this dataset comes out at 138 meV per atom. The formation enthalpy at 0 K is 0.061 eV/atom. The spin magnetization comes out at 0.00 μB/f.u.

***

3.
Material: ScHgB2
Method: DFT, PBE
State: optimized geometry

Geometry as POSCAR:
```
ScHgB2
1.0
-1.999 1.999 7.873
1.999 -1.999 7.873
1.999 1.999 -7.873
Sc Hg B
2 2 4
Cartesian
1.999 0.999 1.968
0.000 0.999 5.905
1.999 -0.999 5.905
0.000 2.998 1.968
0.000 0.000 0.000
0.999 0.999 -3.937
0.999 -0.999 3.937
0.000 1.999 0.000
```

Summary:
The calculation puts the raw total energy at -4.226 eV per atom. Its density of states at the Fermi level is 1.77 states/eV/f.u. The calculated volume is 15.73 Å³ per atom. The formation enthalpy at 0 K is 0.771 eV/atom. The spin magnetization comes out at 0.00 μB/f.u.

***

4.
Material: YSc2HgB
Method: DFT, PBE
State: optimized geometry

Geometry as POSCAR:
```
YSc2HgB
1.0
4.667 0.000 0.000
0.000 4.667 0.000
0.000 0.000 5.105
Y Sc Hg B
1 2 1 1
Cartesian
0.000 0.000 0.000
0.000 2.333 2.552
2.333 0.000 2.552
2.333 2.333 0.000
0.000 0.000 2.552
```

Summary:
The calculation puts the raw total energy at -5.477 eV per atom. Its density of states at the Fermi level is 6.14 states/eV/f.u. The calculated volume is 22.24 Å³ per atom. The formation enthalpy at 0 K is -0.256 eV/atom. The spin magnetization comes out at 0.00 μB/f.u.